Version A
Here is a crystal of Ba2TePb relaxed with PBEsol from Alexandria. Energies are from SCAN.

Properties
The space group is Cm, No. 8.

abc: 4.3280 5.6353 6.8180
angles: 97.31 108.51 90.00
Fractional positions:
Ba1 0.0005 0.1479 0.0010
Ba2 0.2500 0.5990 0.4999
Te1 0.7273 0.0862 0.4547
Pb1 0.5222 0.6669 0.0444

---

Version B
Here is a crystal of Ba2TePb relaxed with PBEsol from Alexandria. Energies are from SCAN.

Properties
The space group is I-4m2, No. 119.

abc: 4.9251 4.9251 7.0180
angles: 110.54 110.54 90.00
Fractional positions:
Ba1 0.0000 0.0000 0.0000
Ba2 0.7500 0.2500 0.5000
Te1 0.2500 0.7500 0.5000
Pb1 0.5000 0.5000 0.0000

---

Least stable: version B

---

Version A
Here is a crystal of BaTlPb2 relaxed with PBEsol from Alexandria. Energies are from SCAN.

Properties
The space group is Fm-3m, No. 225.

abc: 5.6672 5.6672 5.6672
angles: 60.00 60.00 60.00
Fractional positions:
Ba1 0.0000 0.0000 0.0000
Pb1 0.7500 0.7500 0.7500
Pb2 0.2500 0.2500 0.2500
Tl1 0.5000 0.5000 0.5000

---

Version B
Here is a crystal of BaTlPb2 relaxed with PBEsol from Alexandria. Energies are from SCAN.

Properties
The space group is I-4m2, No. 119.

abc: 5.1568 5.1568 6.0300
angles: 115.31 115.31 90.00
Fractional positions:
Tl1 0.5000 0.5000 0.0000
Ba1 0.2500 0.7500 0.5000
Pb1 0.0000 0.0000 0.0000
Pb2 0.7500 0.2500 0.5000

---

Least stable: version A

---

Version A
Here is a crystal of BaTlPb2 relaxed with PBEsol from Alexandria. Energies are from SCAN.

Properties
The space group is F-43m, No. 216.

abc: 5.6794 5.6794 5.6794
angles: 60.00 60.00 60.00
Fractional positions:
Tl1 0.2500 0.2500 0.2500
Ba1 0.5000 0.5000 0.5000
Pb1 0.7500 0.7500 0.7500
Pb2 0.0000 0.0000 0.0000

---

Version B
Here is a crystal of BaTlPb2 relaxed with PBEsol from Alexandria. Energies are from SCAN.

Properties
The space group is Imm2, No. 44.

abc: 4.8178 5.0087 6.4998
angles: 112.66 111.75 90.00
Fractional positions:
Tl1 0.5041 0.5041 0.0082
Pb1 0.0145 0.0145 0.0289
Pb2 0.7013 0.2013 0.4025
Ba1 0.2802 0.7802 0.5603

---

Version C
Here is a crystal of BaTlPb2 relaxed with PBEsol from Alexandria. Energies are from SCAN.

Properties
The space group is P4/mmm, No. 123.

abc: 4.1714 4.1714 7.5128
angles: 90.00 90.00 90.00
Fractional positions:
Tl1 0.5000 0.5000 0.0000
Ba1 0.5000 0.5000 0.5000
Pb1 0.0000 0.0000 0.2058
Pb2 0.0000 0.0000 0.7942

---

Version D
Here is a crystal of BaTlPb2 relaxed with PBEsol from Alexandria. Energies are from SCAN.

Properties
The space group is Pmm2, No. 25.

abc: 3.9705 4.3296 7.5531
angles: 90.00 90.00 90.00
Fractional positions:
Tl1 0.0000 0.0000 0.4616
Pb1 0.0000 0.0000 0.0443
Pb2 0.5000 0.5000 0.2473
Ba1 0.5000 0.5000 0.7469

---

Least stable: version C